Entry 1:
First-principles (PBE) data for an optimized crystal structure of Na3Mo, as listed in Alexandria.

Cell and atoms, written as POSCAR:
```
Na3Mo
1.0
-2.510 2.510 4.665
2.510 -2.510 4.665
2.510 2.510 -4.665
Na Mo
3 1
Direct
0.000 0.000 0.000
0.250 0.750 0.500
0.750 0.250 0.500
0.500 0.500 0.000
```

The crystal system is tetragonal. The calculation puts the formation energy at 4.12 eV/f.u.

***

Entry 2:
First-principles (PBE) data for an optimized crystal structure of LaHoSc2, as listed in Alexandria.

Cell and atoms, written as POSCAR:
```
LaHoSc2
1.0
1.732 1.000 11.027
-1.732 1.000 11.027
0.000 -2.000 11.027
La Ho Sc
1 1 2
Direct
0.000 0.000 0.000
0.500 0.500 0.500
0.248 0.248 0.248
0.752 0.752 0.752
```

The crystal system is trigonal. The calculation puts the distance to the lowest polymorph of the same formula at 12 meV/atom. The calculation puts the formation energy at 0.28 eV/f.u.

***

Entry 3:
First-principles (PBE) data for an optimized crystal structure of YTcSbPb2, as listed in Alexandria.

Cell and atoms, written as POSCAR:
```
YTcSbPb2
1.0
5.832 0.000 0.000
0.000 5.832 0.000
0.000 0.000 4.867
Y Tc Sb Pb
1 1 1 2
Direct
0.000 0.000 0.000
0.000 0.000 0.500
0.500 0.500 0.500
0.000 0.500 0.000
0.500 0.000 0.000
```

The crystal system is tetragonal. The calculation puts the total energy at -4.53 eV/atom.

***

Entry 4:
First-principles (PBE) data for an optimized crystal structure of Ac2HgI2, as listed in Alexandria.

Cell and atoms, written as POSCAR:
```
Ac2HgI2
1.0
2.297 1.326 12.380
-2.297 1.326 12.380
0.000 -2.652 12.380
Ac Hg I
2 1 2
Direct
0.113 0.113 0.113
0.887 0.887 0.887
0.500 0.500 0.500
0.279 0.279 0.279
0.721 0.721 0.721
```

The crystal system is trigonal. The calculation puts the total energy at -3.31 eV/atom.